LuBeIn: optimized geometry, PBE.

```
LuBeIn
1.0
0.000 3.259 3.259
3.259 0.000 3.259
3.259 3.259 0.000
Lu Be In
1 1 1
direct
0.000 0.000 0.000
0.500 0.500 0.500
0.750 0.750 0.750
```

Output
- Total moment: 0.000 μB/atom
- Polymorph energy (0 for the lowest one): 0.0 meV per atom
- SG: F-43m


LuBeIn: optimized geometry, PBE.

```
LuBeIn
1.0
0.000 3.345 3.345
3.345 0.000 3.345
3.345 3.345 0.000
Lu Be In
1 1 1
direct
0.000 0.000 0.000
0.750 0.750 0.750
0.250 0.250 0.250
```

Output
- Total moment: 0.000 μB/atom
- Polymorph energy (0 for the lowest one): 366.3 meV per atom
- SG: F-43m


LuBeInNi: optimized geometry, PBE.

```
LuBeInNi
1.0
0.000 3.192 3.192
3.192 0.000 3.192
3.192 3.192 0.000
Lu Be In Ni
1 1 1 1
direct
0.000 0.000 0.000
0.250 0.250 0.250
0.500 0.500 0.500
0.750 0.750 0.750
```

Output
- Total moment: 0.001 μB/atom
- Polymorph energy (0 for the lowest one): 0.0 meV per atom
- SG: F-43m


LuBeInNi: optimized geometry, PBE.

```
LuBeInNi
1.0
0.000 3.220 3.220
3.220 0.000 3.220
3.220 3.220 0.000
Lu Be In Ni
1 1 1 1
direct
0.000 0.000 0.000
0.250 0.250 0.250
0.750 0.750 0.750
0.500 0.500 0.500
```

Output
- Total moment: 0.001 μB/atom
- Polymorph energy (0 for the lowest one): 221.8 meV per atom
- SG: F-43m


LuBeInNi: optimized geometry, PBE.

```
LuBeInNi
1.0
0.000 3.234 3.234
3.234 0.000 3.234
3.234 3.234 0.000
Lu Be In Ni
1 1 1 1
direct
0.000 0.000 0.000
0.500 0.500 0.500
0.250 0.250 0.250
0.750 0.750 0.750
```

Output
- Total moment: 0.001 μB/atom
- Polymorph energy (0 for the lowest one): 232.3 meV per atom
- SG: F-43m


LuBeInPt: optimized geometry, PBE.

```
LuBeInPt
1.0
0.000 3.267 3.267
3.267 0.000 3.267
3.267 3.267 0.000
Lu Be In Pt
1 1 1 1
direct
0.000 0.000 0.000
0.250 0.250 0.250
0.750 0.750 0.750
0.500 0.500 0.500
```

Output
- Total moment: 0.000 μB/atom
- Polymorph energy (0 for the lowest one): 141.4 meV per atom
- SG: F-43m


LuBeInPt: optimized geometry, PBE.

```
LuBeInPt
1.0
0.000 3.305 3.305
3.305 0.000 3.305
3.305 3.305 0.000
Lu Be In Pt
1 1 1 1
direct
0.000 0.000 0.000
0.500 0.500 0.500
0.250 0.250 0.250
0.750 0.750 0.750
```

Output
- Total moment: 0.000 μB/atom
- Polymorph energy (0 for the lowest one): 137.7 meV per atom
- SG: F-43m


LuBeInPt: optimized geometry, PBE.

```
LuBeInPt
1.0
0.000 3.293 3.293
3.293 0.000 3.293
3.293 3.293 0.000
Lu Be In Pt
1 1 1 1
direct
0.000 0.000 0.000
0.250 0.250 0.250
0.500 0.500 0.500
0.750 0.750 0.750
```

Output
- Total moment: 0.000 μB/atom
- Polymorph energy (0 for the lowest one): 0.0 meV per atom
- SG: F-43m


BeInMo2: optimized geometry, PBE.

```
BeInMo2
1.0
0.000 3.147 3.147
3.147 0.000 3.147
3.147 3.147 0.000
Be In Mo
1 1 2
direct
0.000 0.000 0.000
0.750 0.750 0.750
0.250 0.250 0.250
0.500 0.500 0.500
```

Output
- Total moment: 0.000 μB/atom
- SG: F-43m
- Final energy: -26.7 eV per cell


BeInNiMo: optimized geometry, PBE.

```
BeInNiMo
1.0
0.000 3.041 3.041
3.041 0.000 3.041
3.041 3.041 0.000
Be In Ni Mo
1 1 1 1
direct
0.000 0.000 0.000
0.250 0.250 0.250
0.500 0.500 0.500
0.750 0.750 0.750
```

Output
- Total moment: 0.495 μB/atom
- Polymorph energy (0 for the lowest one): 0.0 meV per atom
- SG: F-43m


BeInNiMo: optimized geometry, PBE.

```
BeInNiMo
1.0
0.000 3.070 3.070
3.070 0.000 3.070
3.070 3.070 0.000
Be In Ni Mo
1 1 1 1
direct
0.000 0.000 0.000
0.500 0.500 0.500
0.750 0.750 0.750
0.250 0.250 0.250
```

Output
- Total moment: 0.392 μB/atom
- Polymorph energy (0 for the lowest one): 149.3 meV per atom
- SG: F-43m


Be2NbIn2: optimized geometry, PBE.

```
Be2NbIn2
1.0
-2.661 2.661 6.665
2.661 -2.661 6.665
2.661 2.661 -6.665
Be Nb In
4 2 4
direct
0.000 0.000 0.000
0.000 0.000 0.500
0.000 0.500 0.000
0.500 0.000 0.500
0.375 0.625 0.750
0.625 0.375 0.250
0.164 0.414 0.750
0.414 0.164 0.250
0.586 0.836 0.750
0.836 0.586 0.250
```

Output
- Total moment: 0.003 μB/atom
- SG: I4_1/amd
- Final energy: -37.5 eV per cell


BeNb2In: optimized geometry, PBE.

```
BeNb2In
1.0
0.000 3.260 3.260
3.260 0.000 3.260
3.260 3.260 0.000
Be Nb In
1 2 1
direct
0.000 0.000 0.000
0.250 0.250 0.250
0.500 0.500 0.500
0.750 0.750 0.750
```

Output
- Total moment: 0.040 μB/atom
- SG: F-43m
- Final energy: -24.9 eV per cell


Be2NbIn: optimized geometry, PBE.

```
Be2NbIn
1.0
0.000 3.130 3.130
3.130 0.000 3.130
3.130 3.130 0.000
Be Nb In
2 1 1
direct
0.000 0.000 0.000
0.250 0.250 0.250
0.750 0.750 0.750
0.500 0.500 0.500
```

Output
- Total moment: 0.342 μB/atom
- SG: F-43m
- Final energy: -17.7 eV per cell


BeNbInOs: optimized geometry, PBE.

```
BeNbInOs
1.0
0.000 3.152 3.152
3.152 0.000 3.152
3.152 3.152 0.000
Be Nb In Os
1 1 1 1
direct
0.000 0.000 0.000
0.500 0.500 0.500
0.250 0.250 0.250
0.750 0.750 0.750
```

Output
- Total moment: 0.000 μB/atom
- Polymorph energy (0 for the lowest one): 103.1 meV per atom
- SG: F-43m


BeNbInOs: optimized geometry, PBE.

```
BeNbInOs
1.0
0.000 3.142 3.142
3.142 0.000 3.142
3.142 3.142 0.000
Be Nb In Os
1 1 1 1
direct
0.000 0.000 0.000
0.250 0.250 0.250
0.500 0.500 0.500
0.750 0.750 0.750
```

Output
- Total moment: 0.086 μB/atom
- Polymorph energy (0 for the lowest one): 331.6 meV per atom
- SG: F-43m


BeNbInOs: optimized geometry, PBE.

```
BeNbInOs
1.0
0.000 3.151 3.151
3.151 0.000 3.151
3.151 3.151 0.000
Be Nb In Os
1 1 1 1
direct
0.000 0.000 0.000
0.250 0.250 0.250
0.750 0.750 0.750
0.500 0.500 0.500
```

Output
- Total moment: 0.000 μB/atom
- Polymorph energy (0 for the lowest one): 0.0 meV per atom
- SG: F-43m


BeInNiPd: optimized geometry, PBE.

```
BeInNiPd
1.0
0.000 3.034 3.034
3.034 0.000 3.034
3.034 3.034 0.000
Be In Ni Pd
1 1 1 1
direct
0.000 0.000 0.000
0.500 0.500 0.500
0.750 0.750 0.750
0.250 0.250 0.250
```

Output
- Total moment: 0.000 μB/atom
- Polymorph energy (0 for the lowest one): 0.0 meV per atom
- SG: F-43m


BeInNiPd: optimized geometry, PBE.

```
BeInNiPd
1.0
0.000 3.016 3.016
3.016 0.000 3.016
3.016 3.016 0.000
Be In Ni Pd
1 1 1 1
direct
0.000 0.000 0.000
0.250 0.250 0.250
0.500 0.500 0.500
0.750 0.750 0.750
```

Output
- Total moment: 0.000 μB/atom
- Polymorph energy (0 for the lowest one): 70.0 meV per atom
- SG: F-43m


BeInReNi: optimized geometry, PBE.

```
BeInReNi
1.0
0.000 3.008 3.008
3.008 0.000 3.008
3.008 3.008 0.000
Be In Re Ni
1 1 1 1
direct
0.000 0.000 0.000
0.250 0.250 0.250
0.750 0.750 0.750
0.500 0.500 0.500
```

Output
- Total moment: 0.336 μB/atom
- SG: F-43m
- Final energy: -22.8 eV per cell


ScBeInNi: optimized geometry, PBE.

```
ScBeInNi
1.0
0.000 3.117 3.117
3.117 0.000 3.117
3.117 3.117 0.000
Sc Be In Ni
1 1 1 1
direct
0.000 0.000 0.000
0.250 0.250 0.250
0.500 0.500 0.500
0.750 0.750 0.750
```

Output
- Total moment: 0.000 μB/atom
- Polymorph energy (0 for the lowest one): 0.0 meV per atom
- SG: F-43m


ScBeInNi: optimized geometry, PBE.

```
ScBeInNi
1.0
0.000 3.148 3.148
3.148 0.000 3.148
3.148 3.148 0.000
Sc Be In Ni
1 1 1 1
direct
0.000 0.000 0.000
0.500 0.500 0.500
0.250 0.250 0.250
0.750 0.750 0.750
```

Output
- Total moment: 0.000 μB/atom
- Polymorph energy (0 for the lowest one): 188.1 meV per atom
- SG: F-43m


ScBeInNi: optimized geometry, PBE.

```
ScBeInNi
1.0
0.000 3.136 3.136
3.136 0.000 3.136
3.136 3.136 0.000
Sc Be In Ni
1 1 1 1
direct
0.000 0.000 0.000
0.750 0.750 0.750
0.250 0.250 0.250
0.500 0.500 0.500
```

Output
- Total moment: 0.002 μB/atom
- Polymorph energy (0 for the lowest one): 171.6 meV per atom
- SG: F-43m


TaBeInNi: optimized geometry, PBE.

```
TaBeInNi
1.0
0.000 3.067 3.067
3.067 0.000 3.067
3.067 3.067 0.000
Ta Be In Ni
1 1 1 1
direct
0.000 0.000 0.000
0.250 0.250 0.250
0.500 0.500 0.500
0.750 0.750 0.750
```

Output
- Total moment: 0.000 μB/atom
- Polymorph energy (0 for the lowest one): 0.0 meV per atom
- SG: F-43m


TaBeInNi: optimized geometry, PBE.

```
TaBeInNi
1.0
0.000 3.110 3.110
3.110 0.000 3.110
3.110 3.110 0.000
Ta Be In Ni
1 1 1 1
direct
0.000 0.000 0.000
0.750 0.750 0.750
0.250 0.250 0.250
0.500 0.500 0.500
```

Output
- Total moment: 0.001 μB/atom
- Polymorph energy (0 for the lowest one): 306.0 meV per atom
- SG: F-43m


BeInOs2: optimized geometry, PBE.

```
BeInOs2
1.0
0.000 3.090 3.090
3.090 0.000 3.090
3.090 3.090 0.000
Be In Os
1 1 2
direct
0.000 0.000 0.000
0.750 0.750 0.750
0.250 0.250 0.250
0.500 0.500 0.500
```

Output
- Total moment: 0.023 μB/atom
- SG: F-43m
- Final energy: -26.6 eV per cell


BeInSbOs: optimized geometry, PBE.

```
BeInSbOs
1.0
0.000 3.264 3.264
3.264 0.000 3.264
3.264 3.264 0.000
Be In Sb Os
1 1 1 1
direct
0.000 0.000 0.000
0.750 0.750 0.750
0.250 0.250 0.250
0.500 0.500 0.500
```

Output
- Total moment: 0.001 μB/atom
- Polymorph energy (0 for the lowest one): 0.0 meV per atom
- SG: F-43m


TaBeInOs: optimized geometry, PBE.

```
TaBeInOs
1.0
0.000 3.145 3.145
3.145 0.000 3.145
3.145 3.145 0.000
Ta Be In Os
1 1 1 1
direct
0.000 0.000 0.000
0.750 0.750 0.750
0.250 0.250 0.250
0.500 0.500 0.500
```

Output
- Total moment: 0.001 μB/atom
- Polymorph energy (0 for the lowest one): 390.5 meV per atom
- SG: F-43m


TaBeInOs: optimized geometry, PBE.

```
TaBeInOs
1.0
0.000 3.149 3.149
3.149 0.000 3.149
3.149 3.149 0.000
Ta Be In Os
1 1 1 1
direct
0.000 0.000 0.000
0.750 0.750 0.750
0.500 0.500 0.500
0.250 0.250 0.250
```

Output
- Total moment: 0.000 μB/atom
- Polymorph energy (0 for the lowest one): 0.0 meV per atom
- SG: F-43m


TaBeInOs: optimized geometry, PBE.

```
TaBeInOs
1.0
0.000 3.151 3.151
3.151 0.000 3.151
3.151 3.151 0.000
Ta Be In Os
1 1 1 1
direct
0.000 0.000 0.000
0.500 0.500 0.500
0.750 0.750 0.750
0.250 0.250 0.250
```

Output
- Total moment: 0.000 μB/atom
- Polymorph energy (0 for the lowest one): 128.2 meV per atom
- SG: F-43m


PaBeIn: optimized geometry, PBE.

```
PaBeIn
1.0
0.000 3.348 3.348
3.348 0.000 3.348
3.348 3.348 0.000
Pa Be In
1 1 1
direct
0.000 0.000 0.000
0.500 0.500 0.500
0.750 0.750 0.750
```

Output
- Total moment: 0.456 μB/atom
- Polymorph energy (0 for the lowest one): 599.8 meV per atom
- SG: F-43m